Computed, not measured: crystalline AgSb8 at its relaxed geometry at the GGA-PBEsol level of DFT.

Output
magnetization	0.0	μB per formula unit
E_form (uncorrected)	185.1	meV per atom
VASP energy	-4.23	eV/atom

abc: 8.0399 8.0399 8.0399
angles: 93.16 93.16 152.83
Positions (direct):
Ag 0.0000 0.0000 0.0000
Sb 0.0000 0.3371 0.3371
Sb 0.0000 0.6629 0.6629
Sb 0.3371 0.0000 0.3371
Sb 0.3550 0.3550 0.7101
Sb 0.3550 0.6450 0.0000
Sb 0.6450 0.3550 0.0000
Sb 0.6450 0.6450 0.2899
Sb 0.6629 0.0000 0.6629